Entry 1:
5
Lattice="-3.540 -3.257 0.103 0.944 -0.879 4.635 -3.142 3.456 1.295" Properties=species:S:1:pos:R:3 comment="Mg2TiSiS meta-GGA SCAN single point on PBEsol structure" raw_formation_energy_mev_per_atom=61 magnetic_moment_mub_per_cell=2.0 spacegroup="No. 123" dft_energy_ev_per_atom=-9.06 pbc="T T T"
S -2.869 -0.340 3.017
Si 0.000 0.000 0.000
Ti -1.571 1.728 0.648
Mg -1.770 -1.629 0.052
Mg 0.472 -0.440 2.318

=====

Entry 2:
14
Lattice="-2.741 7.377 -1.109 -0.806 2.875 -7.365 -7.250 1.128 -3.054" Properties=species:S:1:pos:R:3 comment="Sm2MgS4 meta-GGA SCAN single point on PBEsol structure" raw_formation_energy_mev_per_atom=-2116 magnetic_moment_mub_per_cell=0.0 spacegroup="No. 227" dft_energy_ev_per_atom=-21.03 e_above_lowest_polymorph_mev_per_atom=0 pbc="T T T"
S -8.076 6.207 -9.557
S -4.426 5.705 -8.067
S -5.420 8.018 -4.853
Sm -4.975 1.987 -2.968
Sm -1.753 2.860 -5.124
Mg -5.398 5.690 -5.764
S -7.736 4.808 -5.853
S -9.070 8.520 -6.343
Sm -2.720 5.111 -1.995
S -4.012 4.228 -4.284
S -5.760 9.417 -8.558
Mg -8.097 8.535 -8.646
S -9.484 9.996 -10.127
Sm -1.350 1.422 -1.441

=====

Entry 3:
14
Lattice="7.166 0.005 0.008 -2.543 6.699 -0.008 -2.543 -3.192 5.890" Properties=species:S:1:pos:R:3 comment="Sm2MgS4 meta-GGA SCAN single point on PBEsol structure" raw_formation_energy_mev_per_atom=-2083 magnetic_moment_mub_per_cell=0.0 spacegroup="No. 122" dft_energy_ev_per_atom=-20.99 e_above_lowest_polymorph_mev_per_atom=33 pbc="T T T"
Sm -1.437 3.463 4.425
S 3.249 -1.539 4.402
Sm 4.689 2.968 0.739
Mg 0.000 0.000 0.000
S 4.401 0.011 1.382
S 2.028 1.648 0.097
Mg 1.040 4.229 1.470
S -0.334 2.130 2.209
Sm 2.244 0.925 2.935
S -2.977 1.352 5.223
S 0.606 1.482 5.151
S -1.724 5.434 2.129
Sm -1.339 -0.333 3.680
S 3.068 3.531 2.966

=====

Entry 4:
5
Lattice="-3.745 2.931 -0.203 -0.664 -1.165 -4.567 -2.862 -3.565 1.325" Properties=species:S:1:pos:R:3 comment="MgSnS3 meta-GGA SCAN single point on PBEsol structure" raw_formation_energy_mev_per_atom=-105 magnetic_moment_mub_per_cell=0.0 spacegroup="No. 221" dft_energy_ev_per_atom=-14.06 pbc="T T T"
S -0.332 -0.582 -2.283
Mg 0.000 0.000 0.000
Sn -3.635 -0.899 -1.722
S -1.872 1.465 -0.102
S -1.431 -1.782 0.663

=====

Entry 5:
4
Lattice="-1.029 1.838 -3.046 -0.178 -1.760 -3.253 -7.630 -1.761 -0.736" Properties=species:S:1:pos:R:3 comment="MgSnS2 meta-GGA SCAN single point on PBEsol structure" raw_formation_energy_mev_per_atom=-648 magnetic_moment_mub_per_cell=0.0 spacegroup="No. 166" dft_energy_ev_per_atom=-15.69 pbc="T T T"
Mg -4.419 -0.842 -3.518
S -3.559 -0.504 -5.855
S -5.279 -1.180 -1.180
Sn 0.000 0.000 0.000

=====

Entry 6:
5
Lattice="-2.319 -4.027 -3.495 5.241 -1.016 -2.306 -0.556 -1.213 6.603" Properties=species:S:1:pos:R:3 comment="Sr2MgS2 meta-GGA SCAN single point on PBEsol structure" raw_formation_energy_mev_per_atom=-1382 magnetic_moment_mub_per_cell=1.1 spacegroup="No. 139" dft_energy_ev_per_atom=-15.14 pbc="T T T"
Mg 0.000 0.000 0.000
S 1.951 -4.542 -0.897
Sr 3.073 -2.375 0.698
Sr -0.707 -3.881 0.103
S 0.415 -1.714 1.699